[1]
Entry from the Alexandria database: an optimized crystal structure of AlSi2As (GGA-PBEsol).

```
AlSi2As
1.0
4.907 0.000 0.000
0.000 5.087 0.000
0.000 0.000 2.657
Al Si As
1 2 1
Direct
0.000 0.000 0.000
0.500 0.000 0.535
0.500 0.500 0.386
0.000 0.500 0.135
```

Summary:
- density (Mg/m³) = 3.957
- DFT total energy (eV per atom) = -5.06
- V (Å³/cell) = 66.33
- space group = Pmm2, No. 25

[2]
Entry from the Alexandria database: an optimized crystal structure of AlSiAs (GGA-PBEsol).

```
AlSiAs
1.0
-1.533 1.636 4.885
1.533 -1.636 4.885
1.533 1.636 -4.885
Al Si As
1 1 1
Direct
0.000 0.000 0.000
0.334 0.334 0.000
0.684 0.684 0.000
```

Summary:
- density (Mg/m³) = 4.404
- DFT total energy (eV per atom) = -4.76
- V (Å³/cell) = 49.01
- space group = Imm2, No. 44

[3]
Entry from the Alexandria database: an optimized crystal structure of AlSiAs3 (GGA-PBEsol).

```
AlSiAs3
1.0
4.723 0.000 0.000
0.000 4.723 0.000
0.000 0.000 4.723
Al Si As
1 1 3
Direct
0.000 0.000 0.000
0.500 0.500 0.500
0.000 0.500 0.500
0.500 0.000 0.500
0.500 0.500 0.000
```

Summary:
- density (Mg/m³) = 4.410
- DFT total energy (eV per atom) = -4.39
- V (Å³/cell) = 105.37
- space group = Pm-3m, No. 221

[4]
Entry from the Alexandria database: an optimized crystal structure of AlSi2As (GGA-PBEsol).

```
AlSi2As
1.0
3.399 0.000 0.000
0.000 3.399 0.000
0.000 0.000 5.527
Al Si As
1 2 1
Direct
0.000 0.000 0.000
0.500 0.500 0.241
0.500 0.500 0.759
0.000 0.000 0.500
```

Summary:
- density (Mg/m³) = 4.111
- DFT total energy (eV per atom) = -4.88
- V (Å³/cell) = 63.85
- space group = P4/mmm, No. 123

[5]
Entry from the Alexandria database: an optimized crystal structure of AlTlSiAs2 (GGA-PBEsol).

```
AlTlSiAs2
1.0
4.751 0.000 0.000
0.000 4.751 0.000
0.000 0.000 5.320
Al Tl Si As
1 1 1 2
Direct
0.000 0.000 0.000
0.500 0.500 0.000
0.500 0.500 0.500
0.000 0.500 0.500
0.500 0.000 0.500
```

Summary:
- density (Mg/m³) = 5.660
- DFT total energy (eV per atom) = -3.92
- V (Å³/cell) = 120.08
- space group = P4/mmm, No. 123

[6]
Entry from the Alexandria database: an optimized crystal structure of AlSn2As (GGA-PBEsol).

```
AlSn2As
1.0
0.000 3.540 3.540
3.540 0.000 3.540
3.540 3.540 0.000
Al Sn As
1 2 1
Direct
0.000 0.000 0.000
0.250 0.250 0.250
0.750 0.750 0.750
0.500 0.500 0.500
```

Summary:
- density (Mg/m³) = 6.349
- DFT total energy (eV per atom) = -4.25
- V (Å³/cell) = 88.75
- space group = Fm-3m, No. 225

[7]
Entry from the Alexandria database: an optimized crystal structure of AlSn2As (GGA-PBEsol).

```
AlSn2As
1.0
-3.085 3.085 6.180
3.085 -3.085 6.180
3.085 3.085 -6.180
Al Sn As
2 4 2
Direct
0.000 0.000 0.000
0.750 0.250 0.500
0.123 0.625 0.998
0.375 0.373 0.498
0.627 0.125 0.002
0.875 0.877 0.502
0.250 0.750 0.500
0.500 0.500 0.000
```

Summary:
- density (Mg/m³) = 4.789
- DFT total energy (eV per atom) = -4.36
- V (Å³/cell) = 235.30
- space group = I-42d, No. 122

[8]
Entry from the Alexandria database: an optimized crystal structure of AlSnAs3 (GGA-PBEsol).

```
AlSnAs3
1.0
4.841 0.000 0.000
0.000 4.841 0.000
0.000 0.000 4.841
Al Sn As
1 1 3
Direct
0.000 0.000 0.000
0.500 0.500 0.500
0.000 0.000 0.500
0.000 0.500 0.000
0.500 0.000 0.000
```

Summary:
- density (Mg/m³) = 5.421
- DFT total energy (eV per atom) = -4.33
- V (Å³/cell) = 113.48
- space group = Pm-3m, No. 221

[9]
Entry from the Alexandria database: an optimized crystal structure of SrAlAs (GGA-PBEsol).

```
SrAlAs
1.0
4.437 0.000 0.000
-2.219 3.843 0.000
0.000 0.000 4.347
Sr Al As
1 1 1
Direct
0.000 0.000 0.000
0.333 0.667 0.500
0.667 0.333 0.500
```

Summary:
- density (Mg/m³) = 4.246
- DFT total energy (eV per atom) = -4.26
- V (Å³/cell) = 74.12
- space group = P-6m2, No. 187

[10]
Entry from the Alexandria database: an optimized crystal structure of Sr3Al2As4 (GGA-PBEsol).

```
Sr3Al2As4
1.0
6.819 -5.274 0.000
6.819 5.274 0.000
-0.050 0.000 6.885
Sr Al As
6 4 8
Direct
0.098 0.902 0.750
0.248 0.506 0.461
0.494 0.752 0.039
0.506 0.248 0.961
0.752 0.494 0.539
0.902 0.098 0.250
0.082 0.329 0.919
0.329 0.082 0.419
0.671 0.918 0.581
0.918 0.671 0.081
0.076 0.241 0.574
0.209 0.560 0.976
0.241 0.076 0.074
0.440 0.791 0.524
0.560 0.209 0.476
0.759 0.924 0.926
0.791 0.440 0.024
0.924 0.759 0.426
```

Summary:
- density (Mg/m³) = 4.135
- DFT total energy (eV per atom) = -4.75
- V (Å³/cell) = 495.19
- space group = C2/c, No. 15

[11]
Entry from the Alexandria database: an optimized crystal structure of Sr3AlAs3 (GGA-PBEsol).

```
Sr3AlAs3
1.0
9.530 -3.267 0.000
9.530 3.267 0.000
0.000 0.000 12.641
Sr Al As
12 4 12
Direct
0.012 0.635 0.131
0.135 0.512 0.631
0.176 0.824 0.849
0.324 0.676 0.349
0.365 0.988 0.131
0.488 0.865 0.631
0.512 0.135 0.369
0.635 0.012 0.869
0.676 0.324 0.651
0.824 0.176 0.151
0.865 0.488 0.369
0.988 0.365 0.869
0.085 0.085 0.500
0.415 0.415 0.000
0.585 0.585 0.000
0.915 0.915 0.500
0.046 0.636 0.379
0.136 0.546 0.879
0.211 0.789 0.603
0.289 0.711 0.103
0.364 0.954 0.379
0.454 0.864 0.879
0.546 0.136 0.121
0.636 0.046 0.621
0.711 0.289 0.897
0.789 0.211 0.397
0.864 0.454 0.121
0.954 0.364 0.621
```

Summary:
- density (Mg/m³) = 4.343
- DFT total energy (eV per atom) = -4.62
- V (Å³/cell) = 787.02
- space group = Cmce, No. 64

[12]
Entry from the Alexandria database: an optimized crystal structure of TaAlAs2 (GGA-PBEsol).

```
TaAlAs2
1.0
3.319 0.000 0.000
0.000 3.325 0.000
-1.054 0.000 6.072
Ta Al As
1 1 2
Direct
0.000 0.000 0.000
0.000 0.000 0.500
0.435 0.500 0.767
0.565 0.500 0.233
```

Summary:
- density (Mg/m³) = 8.868
- DFT total energy (eV per atom) = -6.95
- V (Å³/cell) = 66.99
- space group = P2/m, No. 10

Number 4 is which compound? AlSi2As